CsAgSb2Br8, relaxed, DFT PBE; crystal system = triclinic; formation energy without anion corrections = -0.755 eV per atom; magnetic moment = 0.0 μB per cell
1.0
5.8731 0.0000 0.0000
-2.8016 8.5658 0.0000
-0.1580 -2.9209 9.3271
Cs Ag Sb Br
1 1 2 8
Direct
0.0000 0.0000 0.0000 Cs
0.5000 0.0000 0.5000 Ag
0.2584 0.5444 0.6980 Sb
0.7416 0.4556 0.3020 Sb
0.1001 0.2332 0.6806 Br
0.1817 0.4334 0.3295 Br
0.3206 0.6529 0.9723 Br
0.4556 0.9102 0.7242 Br
0.5444 0.0898 0.2758 Br
0.6794 0.3471 0.0277 Br
0.8183 0.5666 0.6705 Br
0.8999 0.7668 0.3194 Br

Nb3WSe, relaxed, DFT PBE; crystal system = cubic; formation energy without anion corrections = 1.296 eV per atom; E above lowest polymorph = 0.287 eV/atom; magnetic moment = 0.0 μB per cell; D(E_F) = 6.55 states/eV per cell
1.0
4.9033 0.0000 0.0000
0.0000 4.9033 0.0000
0.0000 0.0000 4.9033
Nb W Se
3 1 1
Direct
0.0000 0.0000 0.5000 Nb
0.0000 0.5000 0.0000 Nb
0.5000 0.0000 0.0000 Nb
0.0000 0.0000 0.0000 W
0.5000 0.5000 0.5000 Se

TbNp3S4, relaxed, DFT PBE; crystal system = orthorhombic; formation energy without anion corrections = -1.509 eV per atom; magnetic moment = 4.0 μB per cell; D(E_F) = 25.78 states/eV per cell
1.0
3.9025 -5.5422 0.0000
3.9025 5.5422 0.0000
0.0000 0.0000 3.9112
Tb Np S
1 3 4
Direct
0.0000 0.0000 0.0000 Tb
0.0000 0.5000 0.5000 Np
0.5000 0.0000 0.5000 Np
0.5000 0.5000 0.0000 Np
0.2488 0.7512 0.0000 S
0.2504 0.2504 0.5000 S
0.7496 0.7496 0.5000 S
0.7512 0.2488 0.0000 S

AgSnIr3, relaxed, DFT PBE; crystal system = cubic; E above lowest polymorph = 0.000 eV/atom; energy of formation from the pure elements = 9.1 eV per formula unit; magnetic moment = 1.8 μB per cell; D(E_F) = 9.57 states/eV per cell
1.0
4.8777 0.0000 0.0000
0.0000 4.8777 0.0000
0.0000 0.0000 4.8777
Ag Sn Ir
1 1 3
Direct
0.0000 0.0000 0.0000 Ag
0.5000 0.5000 0.5000 Sn
0.0000 0.5000 0.5000 Ir
0.5000 0.0000 0.5000 Ir
0.5000 0.5000 0.0000 Ir

MnGe2Ir2, relaxed, DFT PBE; crystal system = tetragonal; energy of formation from the pure elements = -0.2 eV per formula unit; magnetic moment = 7.7 μB per cell; D(E_F) = 6.45 states/eV per cell
1.0
7.3022 0.0000 0.0000
0.0000 7.3022 0.0000
0.0000 0.0000 2.8930
Mn Ge Ir
2 4 4
Direct
0.0000 0.0000 0.0000 Mn
0.5000 0.5000 0.0000 Mn
0.1561 0.3439 0.5000 Ge
0.3439 0.8439 0.5000 Ge
0.6561 0.1561 0.5000 Ge
0.8439 0.6561 0.5000 Ge
0.1433 0.6433 0.0000 Ir
0.3567 0.1433 0.0000 Ir
0.6433 0.8567 0.0000 Ir
0.8567 0.3567 0.0000 Ir

LaPa2TcC4, relaxed, DFT PBE; crystal system = orthorhombic; energy of formation from the pure elements = -1.4 eV per formula unit; magnetic moment = 0.0 μB per cell; D(E_F) = 14.22 states/eV per cell
1.0
1.8250 -5.9989 0.0000
1.8250 5.9989 0.0000
0.0000 0.0000 12.1598
La Pa Tc C
2 4 2 8
Direct
0.1072 0.8928 0.7500 La
0.8928 0.1072 0.2500 La
0.3678 0.6322 0.5445 Pa
0.3678 0.6322 0.9555 Pa
0.6322 0.3678 0.0445 Pa
0.6322 0.3678 0.4555 Pa
0.1552 0.8448 0.2500 Tc
0.8448 0.1552 0.7500 Tc
0.0000 0.0000 0.0000 C
0.0000 0.0000 0.5000 C
0.2564 0.7436 0.1206 C
0.2564 0.7436 0.3794 C
0.4190 0.5810 0.7500 C
0.5810 0.4190 0.2500 C
0.7436 0.2564 0.6206 C
0.7436 0.2564 0.8794 C

Question: Look up the magnetic moment of the third one.
Answer: 4.0 μB per cell

Question: Number 6 is which compound?
Answer: LaPa2TcC4